*P*
VASP calculation (PBE-GGA) on a geometry-optimized Nd2HoIn structure.

Cell: 3.636 3.636 9.512 Å, 90.00 90.00 90.00°
Space group P4/mmm (No. 123)
One atom of each set of equivalent atoms:
Nd  0.000  0.000  0.229 (multiplicity 2)
Ho  0.500  0.500  0.500 (multiplicity 1)
In  0.500  0.500  0.000 (multiplicity 1)

Output
spin magnetization	0.0	μB per cell


*Q*
VASP calculation (PBE-GGA) on a geometry-optimized Nd2HoIn structure.

Cell: 4.910 4.910 4.995 Å, 90.00 90.00 90.00°
Space group P4/mmm (No. 123)
One atom of each set of equivalent atoms:
Nd  0.000  0.500  0.000 (multiplicity 2)
Ho  0.000  0.000  0.500 (multiplicity 1)
In  0.500  0.500  0.500 (multiplicity 1)

Output
spin magnetization	0.0	μB per cell


*R*
VASP calculation (PBE-GGA) on a geometry-optimized Nd2HoIn structure.

Cell: 4.775 4.672 11.634 Å, 90.00 101.70 90.00°
Space group P2_1/m (No. 11)
One atom of each set of equivalent atoms:
Nd  0.060  0.250  0.122 (multiplicity 2)
Nd  0.427  0.250  0.852 (multiplicity 2)
Ho  0.306  0.750  0.608 (multiplicity 2)
In  0.167  0.750  0.337 (multiplicity 2)

Output
spin magnetization	0.0	μB per cell


Most stable of them? *Q*.


*P*
VASP calculation (PBE-GGA) on a geometry-optimized Nd3Ho3In2 structure.

Cell: 4.880 4.898 9.901 Å, 90.00 90.00 90.00°
Space group Pmmm (No. 47)
One atom of each set of equivalent atoms:
Nd  0.000  0.000  0.000 (multiplicity 1)
Nd  0.000  0.000  0.500 (multiplicity 1)
Nd  0.500  0.500  0.000 (multiplicity 1)
Ho  0.500  0.000  0.252 (multiplicity 2)
Ho  0.500  0.500  0.500 (multiplicity 1)
In  0.000  0.500  0.254 (multiplicity 2)

Output
spin magnetization	0.0	μB per cell


*Q*
VASP calculation (PBE-GGA) on a geometry-optimized Nd3Ho3In2 structure.

Cell: 5.167 11.923 16.386 Å, 90.00 90.00 90.00°
Space group Cmcm (No. 63)
One atom of each set of equivalent atoms:
Nd  0.000  0.042  0.104 (multiplicity 8)
Nd  0.000  0.268  0.250 (multiplicity 4)
Ho  0.000  0.361  0.038 (multiplicity 8)
Ho  0.000  0.453  0.750 (multiplicity 4)
In  0.000  0.237  0.632 (multiplicity 8)

Output
spin magnetization	0.0	μB per cell


Most stable of them? *P*.


*P*
VASP calculation (PBE-GGA) on a geometry-optimized Nd2HoIn3 structure.

Cell: 5.423 16.278 7.646 Å, 90.00 90.00 90.00°
Space group Cmmm (No. 65)
One atom of each set of equivalent atoms:
Nd  0.000  0.000  0.000 (multiplicity 2)
Nd  0.000  0.000  0.500 (multiplicity 2)
Nd  0.000  0.336  0.000 (multiplicity 4)
Ho  0.000  0.333  0.500 (multiplicity 4)
In  0.000  0.170  0.259 (multiplicity 8)
In  0.000  0.500  0.259 (multiplicity 4)

Output
spin magnetization	0.0	μB per cell


*Q*
VASP calculation (PBE-GGA) on a geometry-optimized Nd2HoIn3 structure.

Cell: 3.750 29.384 6.582 Å, 90.00 90.00 90.00°
Space group Cmcm (No. 63)
One atom of each set of equivalent atoms:
Nd  0.000  0.005  0.250 (multiplicity 4)
Nd  0.000  0.154  0.750 (multiplicity 4)
Ho  0.000  0.331  0.750 (multiplicity 4)
In  0.000  0.254  0.250 (multiplicity 4)
In  0.000  0.422  0.009 (multiplicity 8)

Output
spin magnetization	0.0	μB per cell


Most stable of them? *P*.


*P*
VASP calculation (PBE-GGA) on a geometry-optimized Nd3Ho4In structure.

Cell: 25.967 3.429 5.860 Å, 90.00 97.59 90.00°
Space group C2/m (No. 12)
One atom of each set of equivalent atoms:
Nd  0.000  0.000  0.000 (multiplicity 2)
Nd  0.150  0.000  0.207 (multiplicity 4)
Ho  0.100  0.000  0.674 (multiplicity 4)
Ho  0.218  0.500  0.735 (multiplicity 4)
In  0.000  0.500  0.500 (multiplicity 2)

Output
spin magnetization	0.6	μB per cell


*Q*
VASP calculation (PBE-GGA) on a geometry-optimized Nd3Ho4In structure.

Cell: 11.300 7.111 6.233 Å, 90.00 90.00 90.00°
Space group Pmn2_1 (No. 31)
One atom of each set of equivalent atoms:
Nd  0.000  0.127  0.000 (multiplicity 2)
Nd  0.238  0.116  0.347 (multiplicity 4)
Ho  0.000  0.380  0.540 (multiplicity 2)
Ho  0.000  0.628  0.020 (multiplicity 2)
Ho  0.239  0.623  0.362 (multiplicity 4)
In  0.000  0.860  0.526 (multiplicity 2)

Output
spin magnetization	0.0	μB per cell


Most stable of them? *Q*.